# 1
## CrSiTe2 (PBE)

Data for CrSiTe2 after structural relaxation.

Cell lengths 3.2686, 3.2686, 8.0064 Å; angles 90.00, 90.00, 90.00 degrees
Closest atoms and distances in Å follow each position.
Element x y z (fractional)
Cr (0.0000, 0.0000, 0.5612)  4 Si 2.53, 1 Te 2.73
Si (0.5000, 0.5000, 0.6886)  4 Cr 2.53, 1 Te 2.73
Te (0.0000, 0.0000, 0.9028)  1 Cr 2.73, 4 Si 2.88
Te (0.5000, 0.5000, 0.3474)  1 Si 2.73, 4 Cr 2.88

Values from the calculation:
E_form (uncorrected), meV/atom: 147
Volume, Å³/cell: 86
Size of the total moment, μB/atom: 0.000
DOS(E_F), states/eV/f.u.: 1.7


# 2
## CrSi2Te (PBE)

Data for CrSi2Te after structural relaxation.

Cell lengths 5.7956, 5.7956, 7.2600 Å; angles 66.48, 66.48, 90.00 degrees
Closest atoms and distances in Å follow each position.
Element x y z (fractional)
Si (0.8750, 0.8255, 0.7500)  2 Cr 2.39
Cr (0.2500, 0.7500, 0.5000)  4 Si 2.39
Te (0.7500, 0.2500, 0.5000)  4 Si 2.71
Te (0.0000, 0.0000, 0.0000)  4 Si 2.71
Si (0.3750, 0.4245, 0.7500)  2 Cr 2.39
Si (0.5755, 0.1250, 0.2500)  2 Cr 2.39
Cr (0.5000, 0.5000, 0.0000)  4 Si 2.39
Si (0.1745, 0.6250, 0.2500)  2 Cr 2.39

Values from the calculation:
E_form (uncorrected), meV/atom: 641
Volume, Å³/cell: 201
Size of the total moment, μB/atom: 0.673
DOS(E_F), states/eV/f.u.: 2.2


# 3
## Cr2SiTe (PBE)

Data for Cr2SiTe after structural relaxation.

Cell lengths 6.4751, 6.4751, 6.4751 Å; angles 33.33, 33.33, 33.33 degrees
Closest atoms and distances in Å follow each position.
Element x y z (fractional)
Cr (0.9822, 0.9822, 0.9822)  3 Si 2.46
Si (0.2500, 0.2500, 0.2500)  6 Cr 2.46
Te (0.7500, 0.7500, 0.7500)  6 Cr 2.83
Cr (0.5178, 0.5178, 0.5178)  3 Si 2.46

Values from the calculation:
E_form (uncorrected), meV/atom: 180
Offset from the most stable computed form, meV per atom: 0
Volume, Å³/cell: 73
Size of the total moment, μB/atom: 1.414
DOS(E_F), states/eV/f.u.: 2.2


# 4
## CrSi2Te (PBE)

Data for CrSi2Te after structural relaxation.

Cell lengths 3.1088, 3.1088, 7.3633 Å; angles 90.00, 90.00, 90.00 degrees
Closest atoms and distances in Å follow each position.
Element x y z (fractional)
Si (0.0000, 0.0000, 0.9698)  4 Cr 2.51, 4 Si 2.57
Si (0.5000, 0.5000, 0.1514)  1 Cr 2.56, 4 Si 2.57
Te (0.0000, 0.0000, 0.5748)  4 Cr 2.77, 1 Si 2.91
Cr (0.5000, 0.5000, 0.8040)  5 Si 2.51-2.56, 4 Te 2.77

Values from the calculation:
E_form (uncorrected), meV/atom: 247
Volume, Å³/cell: 71
Size of the total moment, μB/atom: 0.000
DOS(E_F), states/eV/f.u.: 2.7


# 5
## Cr2SiTe (PBE)

Data for Cr2SiTe after structural relaxation.

Cell lengths 4.5991, 4.5991, 4.5991 Å; angles 60.00, 60.00, 60.00 degrees
Closest atoms and distances in Å follow each position.
Element x y z (fractional)
Cr (0.2500, 0.2500, 0.2500)  4 Cr 2.82, 4 Si 2.82
Si (0.5000, 0.5000, 0.5000)  4 Cr 2.82, 4 Te 2.82
Te (0.7500, 0.7500, 0.7500)  4 Cr 2.82, 4 Si 2.82
Cr (0.0000, 0.0000, 0.0000)  4 Te 2.82, 4 Cr 2.82

Values from the calculation:
E_form (uncorrected), meV/atom: 605
Offset from the most stable computed form, meV per atom: 424
Volume, Å³/cell: 69
Size of the total moment, μB/atom: 0.158
DOS(E_F), states/eV/f.u.: 4.3


# 6
## CrSi2Te (PBE)

Data for CrSi2Te after structural relaxation.

Cell lengths 4.3003, 4.3003, 5.4380 Å; angles 82.86, 82.86, 46.01 degrees
Closest atoms and distances in Å follow each position.
Element x y z (fractional)
Cr (0.2500, 0.2500, 0.2500)  6 Si 2.45-2.46
Si (0.5318, 0.5318, 0.3904)  2 Si 2.37, 3 Cr 2.45-2.46
Si (0.9682, 0.9682, 0.1096)  2 Si 2.37, 3 Cr 2.45-2.46
Te (0.7500, 0.7500, 0.7500)  2 Si 2.78

Values from the calculation:
E_form (uncorrected), meV/atom: 330
Volume, Å³/cell: 72
Size of the total moment, μB/atom: 0.000
DOS(E_F), states/eV/f.u.: 1.6


# 7
## CrSiTe2 (PBE)

Data for CrSiTe2 after structural relaxation.

Cell lengths 4.9398, 5.1206, 3.5062 Å; angles 90.00, 90.00, 90.00 degrees
Closest atoms and distances in Å follow each position.
Element x y z (fractional)
Cr (0.5000, 0.0000, 0.5000)  8 Te 3.03-3.10
Te (0.0000, 0.0000, 0.0000)  4 Cr 3.03, 4 Si 3.10
Si (0.0000, 0.5000, 0.5000)  8 Te 3.03-3.10
Te (0.5000, 0.5000, 0.0000)  4 Si 3.03, 4 Cr 3.10

Values from the calculation:
E_form (uncorrected), meV/atom: 444
Volume, Å³/cell: 89
Size of the total moment, μB/atom: 0.975
DOS(E_F), states/eV/f.u.: 2.4


# 8
## CrSiTe2 (PBE)

Data for CrSiTe2 after structural relaxation.

Cell lengths 5.0471, 5.0471, 5.0471 Å; angles 60.00, 60.00, 60.00 degrees
Closest atoms and distances in Å follow each position.
Element x y z (fractional)
Te (0.2500, 0.2500, 0.2500)  4 Cr 3.09, 4 Te 3.09
Te (0.0000, 0.0000, 0.0000)  4 Te 3.09, 4 Si 3.09
Si (0.7500, 0.7500, 0.7500)  4 Cr 3.09, 4 Te 3.09
Cr (0.5000, 0.5000, 0.5000)  4 Si 3.09, 4 Te 3.09

Values from the calculation:
E_form (uncorrected), meV/atom: 726
Volume, Å³/cell: 91
Size of the total moment, μB/atom: 0.957
DOS(E_F), states/eV/f.u.: 2.7